A relaxed Tb2ErTm3 crystal. Source: Alexandria, functional PBE-GGA.

abc: 10.6112 6.1237 11.3598
angles: 90.00 90.00 90.00
Space group Cmcm (No. 63)
Symmetry-distinct sites (fractional):
Tb (0.1668, 0.1661, 0.2500) (multiplicity 8)
Er (0.0000, 0.3335, 0.7500) (multiplicity 4)
Tm (0.0000, 0.0000, 0.0000) (multiplicity 4)
Tm (0.1663, 0.5000, 0.0000) (multiplicity 8)

Properties
Offset from the most stable computed form, meV per atom: 0.0

A relaxed Tb2Er9Tm crystal. Source: Alexandria, functional PBE-GGA.

abc: 11.0791 11.0791 3.4596
angles: 90.00 90.00 120.00
Space group P6/mmm (No. 191)
Symmetry-distinct sites (fractional):
Tb (0.3333, 0.6667, 0.0000) (multiplicity 2)
Er (0.0000, 0.5000, 0.0000) (multiplicity 3)
Er (0.1752, 0.3504, 0.5000) (multiplicity 6)
Tm (0.0000, 0.0000, 0.0000) (multiplicity 1)

Properties
Offset from the most stable computed form, meV per atom: 40.0

A relaxed Tb12ErTm3 crystal. Source: Alexandria, functional PBE-GGA.

abc: 5.0022 5.0022 19.9993
angles: 90.00 90.00 90.00
Space group P4/mmm (No. 123)
Symmetry-distinct sites (fractional):
Tb (0.0000, 0.0000, 0.0000) (multiplicity 1)
Tb (0.0000, 0.0000, 0.2503) (multiplicity 2)
Tb (0.0000, 0.0000, 0.5000) (multiplicity 1)
Tb (0.0000, 0.5000, 0.1253) (multiplicity 4)
Tb (0.0000, 0.5000, 0.3751) (multiplicity 4)
Er (0.5000, 0.5000, 0.0000) (multiplicity 1)
Tm (0.5000, 0.5000, 0.2502) (multiplicity 2)
Tm (0.5000, 0.5000, 0.5000) (multiplicity 1)

A relaxed Tb12ErTm6 crystal. Source: Alexandria, functional PBE-GGA.

abc: 11.8143 11.8143 15.0549
angles: 90.00 90.00 120.00
Space group R-3 (No. 148, hexagonal axes)
Symmetry-distinct sites (fractional):
Tb (0.0099, 0.1783, 0.1909) (multiplicity 18)
Tb (0.0432, 0.1931, 0.4159) (multiplicity 18)
Er (0.0000, 0.0000, 0.0000) (multiplicity 3)
Tm (0.0125, 0.5874, 0.6831) (multiplicity 18)

Properties
Offset from the most stable computed form, meV per atom: 0.0

A relaxed Tb2Er12Tm crystal. Source: Alexandria, functional PBE-GGA.

abc: 7.0413 11.2198 23.6029
angles: 90.00 96.47 90.00
Space group C2/m (No. 12)
Symmetry-distinct sites (fractional):
Tb (0.2018, 0.0000, 0.2152) (multiplicity 4)
Tb (0.2144, 0.5000, 0.2131) (multiplicity 4)
Er (0.0127, 0.5000, 0.3445) (multiplicity 4)
Er (0.0298, 0.0000, 0.3639) (multiplicity 4)
Er (0.0564, 0.2559, 0.8241) (multiplicity 8)
Er (0.0928, 0.5000, 0.9268) (multiplicity 4)
Er (0.0970, 0.0000, 0.9292) (multiplicity 4)
Er (0.1297, 0.2797, 0.5647) (multiplicity 8)
Er (0.1482, 0.2477, 0.0566) (multiplicity 8)
Er (0.2429, 0.2557, 0.3008) (multiplicity 8)
Tm (0.2452, 0.5000, 0.4798) (multiplicity 4)

A relaxed Tb6Er8Tm crystal. Source: Alexandria, functional PBE-GGA.

abc: 8.9532 8.9532 20.4202
angles: 90.00 90.00 120.00
Space group R-3 (No. 148, hexagonal axes)
Symmetry-distinct sites (fractional):
Tb (0.0672, 0.8182, 0.2084) (multiplicity 18)
Er (0.0000, 0.0000, 0.0766) (multiplicity 6)
Er (0.0816, 0.5298, 0.3084) (multiplicity 18)
Tm (0.0000, 0.0000, 0.5000) (multiplicity 3)

Properties
Offset from the most stable computed form, meV per atom: 0.0

A relaxed TbEr2Tm9 crystal. Source: Alexandria, functional PBE-GGA.

abc: 11.0315 11.0315 3.4532
angles: 90.00 90.00 120.00
Space group P6/mmm (No. 191)
Symmetry-distinct sites (fractional):
Tb (0.0000, 0.0000, 0.0000) (multiplicity 1)
Er (0.3333, 0.6667, 0.0000) (multiplicity 2)
Tm (0.0000, 0.5000, 0.0000) (multiplicity 3)
Tm (0.1775, 0.3549, 0.5000) (multiplicity 6)

Properties
Offset from the most stable computed form, meV per atom: 0.0

A relaxed TbEr4Tm6 crystal. Source: Alexandria, functional PBE-GGA.

abc: 7.5009 7.5009 12.9572
angles: 90.00 90.00 90.00
Space group I-42m (No. 121)
Symmetry-distinct sites (fractional):
Tb (0.0000, 0.0000, 0.0000) (multiplicity 2)
Er (0.1653, 0.1653, 0.4222) (multiplicity 8)
Tm (0.0000, 0.5000, 0.0000) (multiplicity 4)
Tm (0.2426, 0.2426, 0.1841) (multiplicity 8)

Properties
Offset from the most stable computed form, meV per atom: 341.8

| no. | energy relative to the elements (eV/atom) | uncorrected energy (Ry per atom) |
| --- | --- | --- |
| 1 | 0.0107 | -0.3329 |
| 2 | 0.0635 | -0.3310 |
| 3 | 0.0184 | -0.3365 |
| 4 | 0.1534 | -0.3251 |
| 5 | 0.0970 | -0.3285 |
| 6 | 0.1256 | -0.3277 |
| 7 | 0.0530 | -0.3268 |
| 8 | 0.4701 | -0.2976 |